La4GePdCl2 | GGA-PBE | optimized geometry

Cell: 7.2298 4.2968 7.6873 Å, 90.00 109.53 90.00°
Space group P2/m (No. 10)
Unique sites:
La (0.2364, 0.0000, 0.2434) [2 per cell]
La (0.2450, 0.5000, 0.7451) [2 per cell]
Ge (0.0000, 0.0000, 0.5000) [1 per cell]
Pd (0.0000, 0.5000, 0.0000) [1 per cell]
Cl (0.5000, 0.0000, 0.0000) [1 per cell]
Cl (0.5000, 0.5000, 0.5000) [1 per cell]

Summary:
Its formation energy from raw total energies is -1.2370 eV per atom. As for the calculated total energy: -43.1 eV per cell.